## Li4NpTa3O12 (GGA-PBE)

Data for a relaxed structure of Li4NpTa3O12.

Unit cell a=6.6498 b=6.6498 c=6.6498 alpha=107.33 beta=107.33 gamma=107.33
Last column: nearest neighbours and their distance in Å.
Atoms (fractional coordinates):
1 O 0.8964 0.5000 0.1036  1 Li 1.80, 2 Ta 1.98
2 O 0.3329 0.6671 0.5000  1 Li 1.79, 2 Ta 1.98
3 O 0.3161 0.9844 0.2357  1 Li 1.93, 1 Ta 2.04
4 O 0.7643 0.0156 0.6839  1 Li 1.93, 1 Ta 2.04
5 O 0.9844 0.2357 0.3161  1 Li 1.93, 1 Ta 2.04
6 O 0.6671 0.5000 0.3329  1 Li 1.79, 2 Ta 1.98
7 O 0.5000 0.3329 0.6671  1 Li 1.79, 2 Ta 1.98
8 O 0.0156 0.6839 0.7643  1 Li 1.93, 1 Ta 2.04
9 O 0.5000 0.1036 0.8964  1 Li 1.80, 2 Ta 1.98
10 O 0.2357 0.3161 0.9844  1 Li 1.93, 1 Ta 2.04
11 O 0.1036 0.8964 0.5000  1 Li 1.80, 2 Ta 1.98
12 O 0.6839 0.7643 0.0156  1 Li 1.93, 1 Ta 2.04
13 Li 0.0647 0.5000 0.9353  3 O 1.80-1.93
14 Li 0.9353 0.0647 0.5000  3 O 1.80-1.93
15 Li 0.5000 0.5000 0.5000  3 O 1.79
16 Li 0.5000 0.9353 0.0647  3 O 1.80-1.93
17 Ta 0.5630 0.4370 0.0000  6 O 1.98-2.04
18 Ta 0.4370 0.0000 0.5630  6 O 1.98-2.04
19 Ta 0.0000 0.5630 0.4370  6 O 1.98-2.04
20 Np 0.0000 0.0000 0.0000  6 O 2.27

Formation energy (no corrections)   -2514 meV per atom
Total magnetic moment   0.100 μB/atom
Electronic total energy   -8.30 eV/atom